DFT (PBE with a Hubbard U) results for crystalline BaCrCdO2 at its relaxed geometry.

## Properties
The value obtained for the total energy is -4.56 eV per atom.

Cell lengths 4.3229, 4.3229, 4.9321 Å; angles 90.00, 90.00, 90.00 degrees
Space group P4/mmm (No. 123)
Asymmetric unit:
Ba: 0.0000 0.0000 0.0000 x1
Cr: 0.5000 0.5000 0.5000 x1
Cd: 0.5000 0.5000 0.0000 x1
O: 0.0000 0.5000 0.5000 x2